The following is a DFT calculation (GGA+U) of Li7Mn2Co3O12 after structural relaxation.

Cell lengths 5.1132, 5.8261, 7.5736 Å; angles 100.02, 96.30, 107.73 degrees
Closest atoms and distances in Å follow each position.
Space group P1 (No. 1)
Asymmetric unit:
Li 0.0000 0.0000 0.0000  6 O 2.04-2.19
Li 0.0002 0.4993 0.0042  6 O 2.01-2.24
Li 0.0055 0.1736 0.6642  6 O 2.07-2.27
Li 0.4954 0.2529 0.5054  6 O 2.03-2.12
Li 0.9907 0.6562 0.6704  6 O 2.05-2.19
Li 0.9918 0.3315 0.3439  6 O 2.09-2.28
Li 0.9983 0.8393 0.3471  6 O 2.05-2.21
Mn 0.4916 0.7454 0.5046  6 O 1.91-1.96
Mn 0.4985 0.9211 0.1730  6 O 1.90-1.99
Co 0.4953 0.4137 0.1695  5 O 1.91-2.13
Co 0.4961 0.5839 0.8369  6 O 1.94-1.97
Co 0.5039 0.0938 0.8268  6 O 1.88-2.09
O 0.2614 0.6496 0.2642  2 Mn 1.95-1.96, 3 Li 2.07-2.17, 1 Co 2.16
O 0.2686 0.4787 0.5945  1 Mn 1.91, 1 Co 1.95, 4 Li 2.07-2.11
O 0.2687 0.9425 0.5915  1 Co 1.93, 1 Mn 1.94, 3 Li 2.06-2.08
O 0.2744 0.3064 0.9251  3 Co 1.94-2.06, 3 Li 2.12-2.15
O 0.2778 0.1251 0.2392  1 Co 1.91, 1 Mn 1.92, 2 Li 2.04-2.08
O 0.2820 0.7949 0.9290  1 Mn 1.94, 2 Co 1.97-2.09, 1 Li 2.09
O 0.7072 0.5479 0.4111  1 Co 1.92, 1 Mn 1.92, 2 Li 2.03-2.06
O 0.7065 0.6987 0.0854  2 Co 1.94-1.96, 1 Mn 1.99
O 0.7233 0.0205 0.4139  2 Mn 1.94-1.96, 4 Li 2.05-2.12
O 0.7225 0.8577 0.7431  1 Mn 1.93, 2 Co 1.96-2.08, 2 Li 2.12-2.15
O 0.7277 0.3844 0.7695  2 Co 1.88-1.94, 3 Li 2.01-2.09
O 0.7360 0.1857 0.0890  1 Mn 1.90, 2 Li 2.07-2.09, 2 Co 2.09-2.13

Properties
* calculated volume: 208 Å³/cell
* energy above the lowest structure with this stoichiometry: 59 meV/atom